1.
A relaxed structure of Dy3PtI7. Source: Alexandria via LeMat-Bulk, functional PBE.

Properties
The space-group type is P3m1, No. 156. The energy is -44.55 eV for the cell shown. As for the spin magnetization: 0.00 μB per cell. The crystal system is trigonal.

a = 7.4812 Å, b = 8.5553 Å, c = 8.5553 Å
α = 120.00°, β = 90.00°, γ = 90.00°
Fractional coordinates of all 11 atoms:
I  0.5467  0.3352  0.1676
Dy  0.7726  0.4877  0.9755
I  0.0249  0.1673  0.3347
I  0.0125  0.6667  0.3333
I  0.0249  0.1673  0.8327
Dy  0.7726  0.4877  0.5123
I  0.5467  0.8324  0.1676
I  0.5467  0.8324  0.6648
Pt  0.5702  0.3333  0.6667
Dy  0.7726  0.0245  0.5123
I  0.0249  0.6653  0.8327

***

2.
A relaxed structure of CaAcEuPb. Source: Alexandria via LeMat-Bulk, functional PBE.

Properties
The space-group type is F-43m, No. 216. The energy is -20.43 eV for the cell shown. As for the spin magnetization: 9.25 μB per cell. As for the formation energy: -0.09 eV per atom. The crystal system is cubic.

a = 5.8528 Å, b = 5.8528 Å, c = 5.8528 Å
α = 60.00°, β = 60.00°, γ = 60.00°
Last column: magnetic moment on the atom in μB.
Fractional coordinates of all 4 atoms:
Eu  0.0000  0.0000  0.0000  7.07
Ca  0.5000  0.5000  0.5000  0.15
Ac  0.2500  0.2500  0.2500  0.45
Pb  0.7500  0.7500  0.7500  -0.03

***

3.
A relaxed structure of MnAg2I6. Source: Alexandria via LeMat-Bulk, functional PBE.

Properties
The space-group type is C2/m, No. 12. The energy is -25.93 eV for the cell shown. As for the spin magnetization: 3.40 μB per cell. The crystal system is monoclinic.

a = 4.0668 Å, b = 9.5440 Å, c = 9.8175 Å
α = 103.95°, β = 90.00°, γ = 102.30°
Last column: magnetic moment on the atom in μB.
Fractional coordinates of all 9 atoms:
I  0.9475  0.8949  0.2191  -0.05
Ag  0.2067  0.4135  0.8837  -0.02
I  0.7991  0.5983  0.8203  -0.04
I  0.4019  0.8039  0.5279  -0.04
I  0.0525  0.1051  0.7809  -0.05
I  0.5981  0.1961  0.4721  -0.04
I  0.2009  0.4017  0.1797  -0.04
Ag  0.7933  0.5865  0.1163  -0.02
Mn  0.0000  0.0000  0.5000  3.55

***

4.
A relaxed structure of CePa2Co. Source: Alexandria via LeMat-Bulk, functional PBE.

Properties
The space-group type is R-3m, No. 166. The energy is -31.50 eV for the cell shown. As for the spin magnetization: 0.00 μB per cell. As for the formation energy: 0.13 eV per atom. The crystal system is trigonal. The value obtained for the energy above the most stable polymorph in this dataset is 278.9 meV/atom.

a = 5.0440 Å, b = 5.0440 Å, c = 4.7481 Å
α = 57.92°, β = 57.92°, γ = 60.00°
Fractional coordinates of all 4 atoms:
Ce  0.5000  0.5000  0.5000
Pa  0.7531  0.7531  0.7407
Co  0.0000  0.0000  0.0000
Pa  0.2469  0.2469  0.2593

***

5.
A relaxed structure of LaCeAgIr. Source: Alexandria via LeMat-Bulk, functional PBE.

Properties
The space-group type is F-43m, No. 216. The energy is -24.14 eV for the cell shown. As for the spin magnetization: 0.77 μB per cell. As for the formation energy: -0.39 eV per atom. The crystal system is cubic.

a = 5.1491 Å, b = 5.1491 Å, c = 5.1491 Å
α = 60.00°, β = 60.00°, γ = 60.00°
Last column: magnetic moment on the atom in μB.
Fractional coordinates of all 4 atoms:
Ir  0.0000  0.0000  0.0000  -0.05
Ce  0.2500  0.2500  0.2500  0.64
La  0.7500  0.7500  0.7500  0.04
Ag  0.5000  0.5000  0.5000  0.01

***

6.
A relaxed structure of Ba2CuTe. Source: Alexandria via LeMat-Bulk, functional PBE.

Properties
The space-group type is F-43m, No. 216. The energy is -11.87 eV for the cell shown. As for the spin magnetization: 0.00 μB per cell. The crystal system is cubic.

a = 5.7583 Å, b = 5.7583 Å, c = 5.7583 Å
α = 60.00°, β = 60.00°, γ = 60.00°
Fractional coordinates of all 4 atoms:
Cu  0.5000  0.5000  0.5000
Ba  0.0000  0.0000  0.0000
Ba  0.2500  0.2500  0.2500
Te  0.7500  0.7500  0.7500

***

7.
A relaxed structure of Bi3HO6. Source: Alexandria via LeMat-Bulk, functional PBE.

Properties
The space-group type is Cmc2_1, No. 36. The energy is -110.16 eV for the cell shown. As for the spin magnetization: 0.00 μB per cell. The crystal system is orthorhombic.

a = 5.5748 Å, b = 7.3029 Å, c = 7.3029 Å
α = 99.63°, β = 90.00°, γ = 90.00°
Fractional coordinates of all 20 atoms:
O  0.1171  0.7722  0.2278
Bi  0.9052  0.6027  0.3973
O  0.6553  0.9552  0.0448
Bi  0.4052  0.3973  0.6027
H  0.0391  0.1110  0.8890
O  0.1796  0.3871  0.3328
O  0.6796  0.3328  0.3871
Bi  0.9648  0.0659  0.3078
Bi  0.4648  0.3078  0.0659
O  0.2400  0.4578  0.8821
O  0.1796  0.6672  0.6129
O  0.2400  0.1179  0.5422
H  0.5391  0.8890  0.1110
O  0.6796  0.6129  0.6672
O  0.6171  0.2278  0.7722
O  0.7400  0.8821  0.4578
Bi  0.9648  0.6922  0.9341
O  0.7400  0.5422  0.1179
O  0.1553  0.0448  0.9552
Bi  0.4648  0.9341  0.6922

***

8.
A relaxed structure of CeVC. Source: Alexandria via LeMat-Bulk, functional PBE.

Properties
The space-group type is I4mm, No. 107. The energy is -24.16 eV for the cell shown. As for the spin magnetization: 0.00 μB per cell. As for the formation energy: 0.04 eV per atom. The crystal system is tetragonal. The value obtained for the energy above the most stable polymorph in this dataset is 153.9 meV/atom.

a = 2.9036 Å, b = 2.9036 Å, c = 5.4279 Å
α = 105.51°, β = 105.51°, γ = 90.00°
Fractional coordinates of all 3 atoms:
Ce  0.9978  0.9978  0.9957
V  0.7310  0.7310  0.4620
C  0.2712  0.2712  0.5423

***

9.
A relaxed structure of La2AlRu2. Source: Alexandria via LeMat-Bulk, functional PBE.

Properties
The space-group type is P4/mbm, No. 127. The energy is -67.44 eV for the cell shown. As for the spin magnetization: 0.00 μB per cell. As for the formation energy: -0.31 eV per atom. The crystal system is tetragonal.

a = 6.9731 Å, b = 6.9731 Å, c = 4.5089 Å
α = 90.00°, β = 90.00°, γ = 90.00°
Fractional coordinates of all 10 atoms:
La  0.1805  0.6805  0.5000
Ru  0.3616  0.8616  0.0000
Ru  0.6384  0.1384  0.0000
La  0.6805  0.8195  0.5000
La  0.8195  0.3195  0.5000
Al  0.0000  0.0000  0.0000
La  0.3195  0.1805  0.5000
Al  0.5000  0.5000  0.0000
Ru  0.8616  0.6384  0.0000
Ru  0.1384  0.3616  0.0000

***

10.
A relaxed structure of Hf5Sn6. Source: Alexandria via LeMat-Bulk, functional PBE.

Properties
The space-group type is C2/m, No. 12. The energy is -75.64 eV for the cell shown. As for the spin magnetization: 0.00 μB per cell. As for the formation energy: -0.17 eV per atom. The crystal system is monoclinic.

a = 4.7117 Å, b = 6.8744 Å, c = 9.7326 Å
α = 80.43°, β = 60.97°, γ = 69.96°
Fractional coordinates of all 11 atoms:
Sn  0.4104  0.6708  0.7545
Sn  0.0812  0.3292  0.7545
Sn  0.9188  0.6708  0.2455
Hf  0.5000  0.0000  0.5000
Hf  0.6668  0.6664  0.0000
Sn  0.5896  0.3292  0.2455
Hf  0.8353  0.3295  0.5000
Sn  0.7434  0.0000  0.7567
Hf  0.3332  0.3336  0.0000
Sn  0.2566  0.0000  0.2433
Hf  0.1647  0.6705  0.5000

***

11.
A relaxed structure of CuTc2Ag. Source: Alexandria via LeMat-Bulk, functional PBE.

Properties
The space-group type is P2/m, No. 10. The energy is -25.92 eV for the cell shown. As for the spin magnetization: 0.00 μB per cell. As for the formation energy: 0.44 eV per atom. The crystal system is monoclinic. The value obtained for the energy above the most stable polymorph in this dataset is 171.1 meV/atom.

a = 2.7144 Å, b = 4.6219 Å, c = 5.6448 Å
α = 56.49°, β = 90.00°, γ = 90.00°
Fractional coordinates of all 4 atoms:
Tc  0.0000  0.0000  0.0000
Ag  0.5000  0.5000  0.5000
Cu  0.0000  0.0000  0.5000
Tc  0.5000  0.5000  0.0000

***

12.
A relaxed structure of KPt2. Source: Alexandria via LeMat-Bulk, functional PBE.

Properties
The space-group type is Immm, No. 71. The energy is -13.59 eV for the cell shown. As for the spin magnetization: 0.00 μB per cell. As for the formation energy: -0.14 eV per atom. The crystal system is orthorhombic.

a = 6.2728 Å, b = 6.2728 Å, c = 6.2728 Å
α = 154.46°, β = 138.62°, γ = 49.26°
Fractional coordinates of all 3 atoms:
K  0.0000  0.0000  0.0000
Pt  0.7311  0.7311  0.0000
Pt  0.2689  0.2689  0.0000

***

13.
A relaxed structure of PuTcSb. Source: Alexandria via LeMat-Bulk, functional PBE.

Properties
The space-group type is C2/m, No. 12. The energy is -58.88 eV for the cell shown. As for the spin magnetization: 8.76 μB per cell. The crystal system is monoclinic. The value obtained for the energy above the most stable polymorph in this dataset is 0.0 meV/atom.

a = 4.7835 Å, b = 7.2862 Å, c = 5.0521 Å
α = 57.09°, β = 90.00°, γ = 109.16°
Last column: magnetic moment on the atom in μB.
Fractional coordinates of all 6 atoms:
Sb  0.4103  0.8206  0.3879  -0.02
Sb  0.5897  0.1794  0.6121  -0.02
Pu  0.1286  0.2571  0.0586  4.92
Tc  0.1924  0.3848  0.4663  -0.68
Pu  0.8714  0.7429  0.9414  4.92
Tc  0.8076  0.6152  0.5337  -0.68

***

14.
A relaxed structure of ScCdAu2. Source: Alexandria via LeMat-Bulk, functional PBE.

Properties
The space-group type is I-42d, No. 122. The energy is -29.38 eV for the cell shown. As for the spin magnetization: 0.00 μB per cell. As for the formation energy: -0.22 eV per atom. The crystal system is tetragonal.

a = 7.5896 Å, b = 7.5896 Å, c = 6.1710 Å
α = 52.05°, β = 52.05°, γ = 90.00°
Fractional coordinates of all 8 atoms:
Au  0.1351  0.6250  0.2500
Au  0.8750  0.8649  0.7500
Sc  0.5000  0.5000  0.0000
Au  0.6149  0.1250  0.2500
Sc  0.2500  0.7500  0.5000
Cd  0.0000  0.0000  0.0000
Cd  0.7500  0.2500  0.5000
Au  0.3750  0.3851  0.7500

***

15.
A relaxed structure of NaReRu2. Source: Alexandria via LeMat-Bulk, functional PBE.

Properties
The space-group type is I-42d, No. 122. The energy is -57.35 eV for the cell shown. As for the spin magnetization: 0.00 μB per cell. As for the formation energy: 0.91 eV per atom. The crystal system is tetragonal. The value obtained for the energy above the most stable polymorph in this dataset is 364.2 meV/atom.

a = 7.1402 Å, b = 7.1402 Å, c = 5.7853 Å
α = 51.90°, β = 51.90°, γ = 90.00°
Fractional coordinates of all 8 atoms:
Na  0.5000  0.5000  0.0000
Na  0.2500  0.7500  0.5000
Ru  0.8750  0.9266  0.7500
Ru  0.0734  0.6250  0.2500
Re  0.0000  0.0000  0.0000
Ru  0.6766  0.1250  0.2500
Re  0.7500  0.2500  0.5000
Ru  0.3750  0.3234  0.7500

***

16.
A relaxed structure of LaNdSi. Source: Alexandria via LeMat-Bulk, functional PBE.

Properties
The space-group type is Immm, No. 71. The energy is -32.86 eV for the cell shown. As for the spin magnetization: 0.00 μB per cell. The crystal system is orthorhombic. The value obtained for the energy above the most stable polymorph in this dataset is 78.5 meV/atom.

a = 4.2067 Å, b = 6.4864 Å, c = 7.6019 Å
α = 115.25°, β = 106.06°, γ = 90.00°
Fractional coordinates of all 6 atoms:
Si  0.3592  0.8592  0.7185
La  0.0000  0.7728  0.0000
Si  0.6408  0.1408  0.2815
Nd  0.2976  0.2976  0.5952
Nd  0.7024  0.7024  0.4048
La  0.0000  0.2272  0.0000

***

17.
A relaxed structure of V5Ga6Mo. Source: Alexandria via LeMat-Bulk, functional PBE.

Properties
The space-group type is C2/m, No. 12. The energy is -71.21 eV for the cell shown. As for the spin magnetization: 0.00 μB per cell. As for the formation energy: 0.28 eV per atom. The crystal system is monoclinic.

a = 6.1805 Å, b = 6.1336 Å, c = 6.1863 Å
α = 60.28°, β = 80.33°, γ = 70.20°
Fractional coordinates of all 12 atoms:
Ga  0.2546  0.5758  0.3386
Ga  0.2546  0.9144  0.6614
V  0.5000  0.5000  0.0000
Ga  0.7506  0.7428  0.0000
Mo  0.0000  0.0000  0.0000
Ga  0.7454  0.4242  0.6614
V  0.0000  0.3318  0.3365
Ga  0.2494  0.2572  0.0000
Ga  0.7454  0.0856  0.3386
V  0.0000  0.6682  0.6635
V  0.5000  0.1626  0.6748
V  0.5000  0.8374  0.3252

***

18.
A relaxed structure of ZrTa2Cl. Source: Alexandria via LeMat-Bulk, functional PBE.

Properties
The space-group type is P4/mmm, No. 123. The energy is -32.89 eV for the cell shown. As for the spin magnetization: 0.00 μB per cell. The crystal system is tetragonal. The value obtained for the energy above the most stable polymorph in this dataset is 502.7 meV/atom.

a = 2.9390 Å, b = 2.9390 Å, c = 8.6473 Å
α = 90.00°, β = 90.00°, γ = 90.00°
Fractional coordinates of all 4 atoms:
Zr  0.5000  0.5000  0.2500
Ta  0.0000  0.0000  0.9738
Cl  0.5000  0.5000  0.7500
Ta  0.0000  0.0000  0.5262

***

19.
A relaxed structure of Y2Sc5. Source: Alexandria via LeMat-Bulk, functional PBE.

Properties
The space-group type is R-3m, No. 166. The energy is -43.67 eV for the cell shown. As for the spin magnetization: 0.01 μB per cell. As for the formation energy: 0.13 eV per atom. The crystal system is trigonal. The value obtained for the energy above the most stable polymorph in this dataset is 67.9 meV/atom.

a = 5.3161 Å, b = 5.3161 Å, c = 8.2731 Å
α = 71.26°, β = 71.26°, γ = 60.00°
Fractional coordinates of all 7 atoms:
Sc  0.9260  0.9260  0.2220
Sc  0.5000  0.5000  0.5000
Y  0.6372  0.6372  0.0883
Sc  0.2108  0.2108  0.3675
Y  0.3628  0.3628  0.9117
Sc  0.7892  0.7892  0.6325
Sc  0.0740  0.0740  0.7780

***

20.
A relaxed structure of LiPm2SnPt6. Source: Alexandria via LeMat-Bulk, functional PBE.

Properties
The space-group type is P-1, No. 2. The energy is -58.93 eV for the cell shown. As for the spin magnetization: 0.00 μB per cell. As for the formation energy: -0.73 eV per atom. The crystal system is triclinic.

a = 5.5927 Å, b = 8.7689 Å, c = 5.5898 Å
α = 71.43°, β = 59.95°, γ = 90.10°
Fractional coordinates of all 10 atoms:
Pt  0.2433  0.2369  0.5151
Pm  0.7008  0.1011  0.5991
Pt  0.2434  0.2367  0.0053
Pm  0.2992  0.8989  0.4009
Pt  0.2473  0.7629  0.9949
Sn  0.5000  0.5000  0.0000
Pt  0.7566  0.7633  0.9947
Pt  0.7527  0.2371  0.0051
Pt  0.7567  0.7631  0.4849
Li  0.0000  0.0000  0.0000